An optimized crystal structure of NaGeSb2. Source: Alexandria via LeMat-Bulk, functional GGA-PBE.

## Properties
calculated density	5.204	g cm⁻³
formation energy (no corrections)	0.042	eV per formula unit
symmetry	No. 166
electronic total energy	-14.14	eV for the cell shown

Unit cell a=3.826 b=3.826 c=8.818 alpha=77.47 beta=77.47 gamma=60.00
Atoms (fractional coordinates):
1 Sb 0.737 0.737 0.788
2 Na 0.500 0.500 0.500
3 Sb 0.263 0.263 0.212
4 Ge 0.000 0.000 0.000

***

An optimized crystal structure of BaYSc2Tc. Source: Alexandria via LeMat-Bulk, functional GGA-PBE.

## Properties
calculated density	4.521	g cm⁻³
symmetry	No. 123
energy of formation from the pure elements	0.0757	eV/atom
electronic total energy	-31.04	eV for the cell shown

Unit cell a=5.259 b=5.259 c=5.499 alpha=90.00 beta=90.00 gamma=90.00
Atoms (fractional coordinates):
1 Y 0.000 0.000 0.500
2 Tc 0.000 0.000 0.000
3 Sc 0.500 0.000 0.000
4 Ba 0.500 0.500 0.500
5 Sc 0.000 0.500 0.000

***

An optimized crystal structure of La2SiP. Source: Alexandria via LeMat-Bulk, functional GGA-PBE.

## Properties
calculated density	5.728	g cm⁻³
energy above the lowest structure with this stoichiometry	366	meV per atom
formation energy (no corrections)	-3.170	eV per formula unit
symmetry	No. 47
electronic total energy	-23.86	eV for the cell shown

Unit cell a=3.759 b=3.921 c=6.625 alpha=90.00 beta=90.00 gamma=90.00
Atoms (fractional coordinates):
1 Si 0.500 0.500 0.750
2 P 0.500 0.500 0.250
3 La 0.000 0.000 0.004
4 La 0.000 0.000 0.496

***

An optimized crystal structure of OsRuRh2. Source: Alexandria via LeMat-Bulk, functional GGA-PBE.

## Properties
calculated density	14.175	g cm⁻³
energy above the lowest structure with this stoichiometry	533	meV per atom
symmetry	No. 225
energy of formation from the pure elements	0.5808	eV/atom
electronic total energy	-32.89	eV for the cell shown

Unit cell a=4.351 b=4.351 c=4.351 alpha=60.00 beta=60.00 gamma=60.00
Each line ends with the local moment (μB).
Atoms (fractional coordinates):
1 Os 0.500 0.500 0.500  -0.22
2 Rh 0.250 0.250 0.250  0.15
3 Rh 0.750 0.750 0.750  0.15
4 Ru 0.000 0.000 0.000  0.59

***

An optimized crystal structure of Rb2NaYBr6. Source: Alexandria via LeMat-Bulk, functional GGA-PBE.

## Properties
calculated density	3.410	g cm⁻³
formation energy (no corrections)	-17.819	eV per formula unit
symmetry	No. 225
electronic total energy	-37.57	eV for the cell shown

Unit cell a=8.067 b=8.067 c=8.067 alpha=60.00 beta=60.00 gamma=60.00
Atoms (fractional coordinates):
1 Br 0.755 0.755 0.245
2 Br 0.755 0.245 0.245
3 Br 0.245 0.755 0.755
4 Rb 0.750 0.750 0.750
5 Br 0.245 0.245 0.755
6 Rb 0.250 0.250 0.250
7 Br 0.755 0.245 0.755
8 Br 0.245 0.755 0.245
9 Na 0.500 0.500 0.500
10 Y 0.000 0.000 0.000

***

An optimized crystal structure of Si2Pb5Au12. Source: Alexandria via LeMat-Bulk, functional GGA-PBE.

## Properties
calculated density	13.503	g cm⁻³
formation energy (no corrections)	-0.076	eV per formula unit
symmetry	No. 12
electronic total energy	-68.79	eV for the cell shown

Unit cell a=7.263 b=8.835 c=8.835 alpha=53.97 beta=109.53 gamma=109.53
Atoms (fractional coordinates):
1 Pb 0.066 0.644 0.644
2 Au 0.679 0.641 0.227
3 Au 0.775 0.438 0.975
4 Si 0.000 0.161 0.839
5 Au 0.775 0.975 0.438
6 Pb 0.500 0.000 0.000
7 Au 0.039 0.871 0.871
8 Pb 0.424 0.216 0.216
9 Pb 0.934 0.356 0.356
10 Au 0.352 0.414 0.414
11 Au 0.961 0.129 0.129
12 Au 0.321 0.773 0.359
13 Au 0.225 0.562 0.025
14 Au 0.225 0.025 0.562
15 Pb 0.576 0.784 0.784
16 Au 0.679 0.227 0.641
17 Au 0.648 0.586 0.586
18 Au 0.321 0.359 0.773
19 Si 0.000 0.839 0.161

***

An optimized crystal structure of NaCdSe. Source: Alexandria via LeMat-Bulk, functional GGA-PBE.

## Properties
calculated density	4.210	g cm⁻³
energy above the lowest structure with this stoichiometry	205	meV per atom
formation energy (no corrections)	-1.488	eV per formula unit
symmetry	No. 160
electronic total energy	-21.62	eV for the cell shown

Unit cell a=4.910 b=4.910 c=12.151 alpha=90.00 beta=90.00 gamma=120.00
Atoms (fractional coordinates):
1 Cd 0.333 0.667 0.793
2 Na 0.333 0.667 0.294
3 Cd 0.667 0.333 0.459
4 Se 0.000 0.000 0.876
5 Se 0.667 0.333 0.210
6 Se 0.333 0.667 0.543
7 Na 0.000 0.000 0.627
8 Cd 0.000 0.000 0.126
9 Na 0.667 0.333 0.961

***

An optimized crystal structure of YTaAs2. Source: Alexandria via LeMat-Bulk, functional GGA-PBE.

## Properties
calculated density	9.018	g cm⁻³
energy above the lowest structure with this stoichiometry	219	meV per atom
symmetry	No. 10
energy of formation from the pure elements	-0.6016	eV/atom
electronic total energy	-30.02	eV for the cell shown

Unit cell a=3.351 b=3.318 c=7.707 alpha=64.41 beta=90.00 gamma=90.00
Each line ends with the local moment (μB).
Atoms (fractional coordinates):
1 As 0.000 0.965 0.035  -0.01
2 Y 0.500 0.750 0.750  0.16
3 As 0.000 0.535 0.465  -0.01
4 Ta 0.500 0.250 0.250  0.03

***

An optimized crystal structure of BaMg2Tl3F9. Source: Alexandria via LeMat-Bulk, functional GGA-PBE.

## Properties
calculated density	6.104	g cm⁻³
formation energy (no corrections)	-42.905	eV per formula unit
symmetry	No. 164
electronic total energy	-71.96	eV for the cell shown

Unit cell a=6.075 b=6.075 c=8.256 alpha=90.00 beta=90.00 gamma=120.00
Atoms (fractional coordinates):
1 Tl 0.667 0.333 0.267
2 F 0.000 0.500 0.000
3 F 0.823 0.177 0.718
4 Tl 0.333 0.667 0.733
5 F 0.500 0.000 0.000
6 F 0.177 0.823 0.282
7 F 0.500 0.500 0.000
8 Mg 0.333 0.667 0.150
9 F 0.177 0.355 0.282
10 F 0.823 0.645 0.718
11 Ba 0.000 0.000 0.500
12 F 0.355 0.177 0.718
13 Tl 0.000 0.000 0.000
14 Mg 0.667 0.333 0.850
15 F 0.645 0.823 0.282

***

An optimized crystal structure of Ti4MoRu3. Source: Alexandria via LeMat-Bulk, functional GGA-PBE.

## Properties
calculated density	8.204	g cm⁻³
symmetry	No. 123
energy of formation from the pure elements	-0.5970	eV/atom
electronic total energy	-75.01	eV for the cell shown

Unit cell a=3.089 b=3.089 c=12.526 alpha=90.00 beta=90.00 gamma=90.00
Atoms (fractional coordinates):
1 Ru 0.500 0.500 0.745
2 Ti 0.000 0.000 0.624
3 Mo 0.500 0.500 0.000
4 Ti 0.000 0.000 0.871
5 Ru 0.500 0.500 0.255
6 Ti 0.000 0.000 0.129
7 Ti 0.000 0.000 0.376
8 Ru 0.500 0.500 0.500

***

An optimized crystal structure of SrHoZnIn. Source: Alexandria via LeMat-Bulk, functional GGA-PBE.

## Properties
calculated density	6.422	g cm⁻³
symmetry	No. 216
energy of formation from the pure elements	-0.2841	eV/atom
electronic total energy	-11.41	eV for the cell shown

Unit cell a=5.409 b=5.409 c=5.409 alpha=60.00 beta=60.00 gamma=60.00
Atoms (fractional coordinates):
1 Ho 0.750 0.750 0.750
2 Zn 0.000 0.000 0.000
3 Sr 0.250 0.250 0.250
4 In 0.500 0.500 0.500

***

An optimized crystal structure of CsBa2Mo2N6. Source: Alexandria via LeMat-Bulk, functional GGA-PBE.

## Properties
calculated density	4.206	g cm⁻³
formation energy (no corrections)	-4.622	eV per formula unit
symmetry	No. 2
electronic total energy	-80.94	eV for the cell shown

Unit cell a=7.413 b=6.394 c=7.688 alpha=120.91 beta=102.49 gamma=59.82
Each line ends with the local moment (μB).
Atoms (fractional coordinates):
1 N 0.377 0.646 0.721  0.21
2 Mo 0.101 0.848 0.807  -0.06
3 Mo 0.899 0.152 0.193  -0.06
4 N 0.003 0.229 0.027  0.02
5 N 0.997 0.771 0.973  0.02
6 Ba 0.797 0.444 0.738  0.00
7 Ba 0.203 0.556 0.262  0.00
8 N 0.053 0.137 0.406  0.17
9 Cs 0.500 0.000 0.500  0.00
10 N 0.947 0.863 0.594  0.17
11 N 0.623 0.354 0.279  0.21

***

An optimized crystal structure of Nd2GeSe. Source: Alexandria via LeMat-Bulk, functional GGA-PBE.

## Properties
calculated density	6.429	g cm⁻³
energy above the lowest structure with this stoichiometry	128	meV per atom
formation energy (no corrections)	-5.159	eV per formula unit
symmetry	No. 160
electronic total energy	-22.80	eV for the cell shown

Unit cell a=4.223 b=4.223 c=7.755 alpha=74.20 beta=74.20 gamma=60.00
Atoms (fractional coordinates):
1 Nd 0.078 0.078 0.767
2 Se 0.498 0.498 0.505
3 Ge 0.668 0.668 0.997
4 Nd 0.257 0.257 0.230

***

An optimized crystal structure of Nd2Sm2Br7. Source: Alexandria via LeMat-Bulk, functional GGA-PBE.

## Properties
calculated density	4.485	g cm⁻³
formation energy (no corrections)	-15.088	eV per formula unit
symmetry	No. 12
electronic total energy	-45.77	eV for the cell shown

Unit cell a=7.884 b=7.557 c=7.557 alpha=109.12 beta=88.90 gamma=88.90
Each line ends with the local moment (μB).
Atoms (fractional coordinates):
1 Br 0.763 0.640 0.640  0.00
2 Sm 0.500 0.358 0.642  0.19
3 Br 0.292 0.584 0.987  0.00
4 Br 0.237 0.360 0.360  0.00
5 Br 0.708 0.416 0.013  0.00
6 Nd 0.139 0.695 0.695  0.11
7 Br 0.000 0.000 0.000  0.00
8 Br 0.708 0.013 0.416  0.00
9 Sm 0.500 0.642 0.358  0.19
10 Br 0.292 0.987 0.584  0.00
11 Nd 0.861 0.305 0.305  0.11

***

An optimized crystal structure of K3Hg. Source: Alexandria via LeMat-Bulk, functional GGA-PBE.

## Properties
calculated density	2.664	g cm⁻³
symmetry	No. 139
energy of formation from the pure elements	-0.0720	eV/atom
electronic total energy	-3.88	eV for the cell shown

Unit cell a=7.016 b=7.016 c=7.016 alpha=129.93 beta=129.93 gamma=73.51
Atoms (fractional coordinates):
1 K 0.500 0.500 0.000
2 Hg 0.000 0.000 0.000
3 K 0.750 0.250 0.500
4 K 0.250 0.750 0.500

***

An optimized crystal structure of CaPu2Fe. Source: Alexandria via LeMat-Bulk, functional GGA-PBE.

## Properties
calculated density	9.745	g cm⁻³
symmetry	No. 166
energy of formation from the pure elements	0.5959	eV/atom
electronic total energy	-36.74	eV for the cell shown

Unit cell a=4.369 b=4.369 c=6.526 alpha=70.44 beta=70.44 gamma=60.00
Each line ends with the local moment (μB).
Atoms (fractional coordinates):
1 Pu 0.682 0.682 0.955  2.91
2 Ca 0.500 0.500 0.500  0.04
3 Pu 0.318 0.318 0.045  2.91
4 Fe 0.000 0.000 0.000  -0.55

***

An optimized crystal structure of Pm3Nd7Tl2. Source: Alexandria via LeMat-Bulk, functional GGA-PBE.

## Properties
calculated density	7.600	g cm⁻³
symmetry	No. 10
energy of formation from the pure elements	-0.0221	eV/atom
electronic total energy	-52.62	eV for the cell shown

Unit cell a=3.693 b=5.814 c=19.412 alpha=103.69 beta=90.00 gamma=90.00
Atoms (fractional coordinates):
1 Pm 0.500 0.500 0.000
2 Pm 0.000 0.860 0.641
3 Nd 0.500 0.007 0.831
4 Nd 0.500 0.993 0.169
5 Nd 0.500 0.723 0.465
6 Nd 0.000 0.000 0.000
7 Tl 0.500 0.593 0.297
8 Pm 0.000 0.140 0.359
9 Nd 0.500 0.277 0.535
10 Nd 0.000 0.520 0.847
11 Nd 0.000 0.480 0.153
12 Tl 0.500 0.407 0.703

***

An optimized crystal structure of ThHgC. Source: Alexandria via LeMat-Bulk, functional GGA-PBE.

## Properties
calculated density	10.910	g cm⁻³
symmetry	No. 8
energy of formation from the pure elements	-0.2520	eV/atom
electronic total energy	-35.40	eV for the cell shown

Unit cell a=3.724 b=4.286 c=9.611 alpha=87.80 beta=78.83 gamma=64.25
Atoms (fractional coordinates):
1 C 0.732 0.839 0.872
2 Hg 0.928 0.084 0.236
3 C 0.935 0.514 0.792
4 Th 0.275 0.940 0.685
5 Hg 0.113 0.519 0.432
6 Th 0.391 0.416 0.978

***

An optimized crystal structure of HfAgSe2O8. Source: Alexandria via LeMat-Bulk, functional GGA-PBE.

## Properties
calculated density	4.972	g cm⁻³
formation energy (no corrections)	-13.281	eV per formula unit
symmetry	No. 147
electronic total energy	-72.72	eV for the cell shown

Unit cell a=5.748 b=5.748 c=6.680 alpha=90.00 beta=90.00 gamma=120.00
Atoms (fractional coordinates):
1 O 0.673 0.834 0.692
2 O 0.838 0.673 0.308
3 O 0.834 0.162 0.308
4 Hf 0.000 0.000 0.500
5 Se 0.333 0.667 0.770
6 O 0.333 0.667 0.014
7 O 0.327 0.166 0.308
8 O 0.667 0.333 0.986
9 O 0.166 0.838 0.692
10 O 0.162 0.327 0.692
11 Se 0.667 0.333 0.230
12 Ag 0.000 0.000 0.000

***

An optimized crystal structure of Zr3CrBi. Source: Alexandria via LeMat-Bulk, functional GGA-PBE.

## Properties
calculated density	5.662	g cm⁻³
energy above the lowest structure with this stoichiometry	1010	meV per atom
symmetry	No. 221
energy of formation from the pure elements	1.3154	eV/atom
electronic total energy	-32.57	eV for the cell shown

Unit cell a=5.392 b=5.392 c=5.392 alpha=90.00 beta=90.00 gamma=90.00
Each line ends with the local moment (μB).
Atoms (fractional coordinates):
1 Zr 0.000 0.500 0.000  -0.18
2 Cr 0.500 0.500 0.500  3.94
3 Zr 0.500 0.000 0.000  -0.24
4 Bi 0.000 0.000 0.000  0.00
5 Zr 0.000 0.000 0.500  -0.28

***

An optimized crystal structure of CaHoAl. Source: Alexandria via LeMat-Bulk, functional GGA-PBE.

## Properties
calculated density	4.682	g cm⁻³
energy above the lowest structure with this stoichiometry	136	meV per atom
symmetry	No. 156
energy of formation from the pure elements	-0.0317	eV/atom
electronic total energy	-10.42	eV for the cell shown

Unit cell a=3.509 b=5.203 c=5.203 alpha=120.00 beta=90.00 gamma=90.00
Atoms (fractional coordinates):
1 Ho 0.382 0.333 0.667
2 Al 0.660 0.667 0.333
3 Ca 0.959 0.000 0.000